(1)
# PBE-GGA Pr3Dy3TmSe8, optimized geometry
# Spin magnetization: 0.0 μB/f.u.
# Energy relative to the elements, uncorrected: -1.850 eV/atom
# E_tot: -264.72 eV for the cell shown
data_Pr3Dy3TmSe8
_symmetry_space_group_name_H-M 'R -3 m'
_symmetry_Int_Tables_number 166
_symmetry_space_group_name_Hall '-R 3 2"'
_cell_length_a 8.2498
_cell_length_b 8.2498
_cell_length_c 20.5984
_cell_angle_alpha 90.00
_cell_angle_beta 90.00
_cell_angle_gamma 120.00
loop_
_atom_site_label
_atom_site_fract_x
_atom_site_fract_y
_atom_site_fract_z
Pr1 0.0000 0.5000 0.0000
Dy1 0.0000 0.5000 0.5000
Tm1 0.0000 0.0000 0.5000
Se1 0.0000 0.0000 0.2446
Se2 0.0018 0.5009 0.7549

=====

(2)
# PBE-GGA CeHo6Sc4, optimized geometry
# Spin magnetization: 0.1 μB/f.u.
# ΔE_f: 0.33 eV/atom
# E_tot: -110.11 eV for the cell shown
data_CeHo6Sc4
_symmetry_space_group_name_H-M 'I -4 2 m'
_symmetry_Int_Tables_number 121
_symmetry_space_group_name_Hall 'I -4 2'
_cell_length_a 6.278
_cell_length_b 6.278
_cell_length_c 16.642
_cell_angle_alpha 90.00
_cell_angle_beta 90.00
_cell_angle_gamma 90.00
loop_
_atom_site_label
_atom_site_fract_x
_atom_site_fract_y
_atom_site_fract_z
Ce1 0.000 0.000 0.000
Ho1 0.000 0.500 0.000
Ho2 0.190 0.190 0.180
Sc1 0.182 0.182 0.373

=====

(3)
# PBE-GGA Ti6Bi3As, optimized geometry
# Spin magnetization: 0.0 μB/f.u.
# ΔE_f: -0.08 eV/atom
# E_tot: -257.67 eV for the cell shown
data_Ti6Bi3As
_symmetry_space_group_name_H-M 'C m c 21'
_symmetry_Int_Tables_number 36
_cell_length_a 9.672
_cell_length_b 13.298
_cell_length_c 6.845
_cell_angle_alpha 90.00
_cell_angle_beta 90.00
_cell_angle_gamma 90.00
loop_
_symmetry_equiv_pos_as_xyz
'x,y,z'
'-x,-y,z+1/2'
'-x,y,z'
'x,-y,z+1/2'
'x+1/2,y+1/2,z'
'-x+1/2,-y+1/2,z+1/2'
'-x+1/2,y+1/2,z'
'x+1/2,-y+1/2,z+1/2'
loop_
_atom_site_label
_atom_site_fract_x
_atom_site_fract_y
_atom_site_fract_z
Ti1 0.000 0.036 0.000
Ti2 0.000 0.249 0.600
Ti3 0.156 0.427 0.561
Ti4 0.168 0.235 0.028
Bi1 0.000 0.403 0.910
Bi2 0.199 0.095 0.708
As1 0.000 0.149 0.284

=====

(4)
# PBE-GGA TiFeSe3, optimized geometry
# Relative energy among the computed polymorphs: 18.203 kcal/mol of atoms
# Spin magnetization: 3.8 μB/f.u.
# Energy relative to the elements, uncorrected: 0.137 eV/atom
# E_tot: -26.13 eV for the cell shown
data_TiFeSe3
_symmetry_space_group_name_H-M 'P m -3 m'
_symmetry_Int_Tables_number 221
_symmetry_space_group_name_Hall '-P 4 2 3'
_cell_length_a 4.920
_cell_length_b 4.920
_cell_length_c 4.920
_cell_angle_alpha 90.00
_cell_angle_beta 90.00
_cell_angle_gamma 90.00
loop_
_atom_site_label
_atom_site_fract_x
_atom_site_fract_y
_atom_site_fract_z
Ti1 0.000 0.000 0.000
Fe1 0.500 0.500 0.500
Se1 0.000 0.000 0.500

=====

(5)
# PBE-GGA Ac3Cd4Pb4, optimized geometry
# Relative energy among the computed polymorphs: 0.000 kcal/mol of atoms
# Spin magnetization: 0.0 μB/f.u.
# ΔE_f: -0.33 eV/atom
# E_tot: -68.99 eV for the cell shown
data_Ac3Cd4Pb4
_symmetry_space_group_name_H-M 'I m m m'
_symmetry_Int_Tables_number 71
_symmetry_space_group_name_Hall '-I 2 2'
_cell_length_a 5.069
_cell_length_b 7.973
_cell_length_c 17.064
_cell_angle_alpha 90.00
_cell_angle_beta 90.00
_cell_angle_gamma 90.00
loop_
_atom_site_label
_atom_site_fract_x
_atom_site_fract_y
_atom_site_fract_z
Ac1 0.000 0.000 0.000
Ac2 0.000 0.500 0.127
Cd1 0.000 0.303 0.331
Pb1 0.000 0.000 0.212
Pb2 0.000 0.198 0.500

=====

(6)
# PBE-GGA CrSnMo2Os, optimized geometry
# Spin magnetization: 0.0 μB/f.u.
# ΔE_f: 1.53 eV/atom
# E_tot: -38.89 eV for the cell shown
data_CrSnMo2Os
_symmetry_space_group_name_H-M 'P 4/m m m'
_symmetry_Int_Tables_number 123
_symmetry_space_group_name_Hall '-P 4 2'
_cell_length_a 4.412
_cell_length_b 4.412
_cell_length_c 4.736
_cell_angle_alpha 90.00
_cell_angle_beta 90.00
_cell_angle_gamma 90.00
loop_
_atom_site_label
_atom_site_fract_x
_atom_site_fract_y
_atom_site_fract_z
Cr1 0.000 0.000 0.000
Sn1 0.000 0.000 0.500
Mo1 0.000 0.500 0.000
Os1 0.500 0.500 0.500

=====

Q: Which value of E_tot does entry 4 give?
A: -26.13 eV for the cell shown

=====

Q: Look up the E_tot of the fifth one.
A: -68.99 eV for the cell shown

=====

Q: Which of these has the lowest E_tot?
A: Pr3Dy3TmSe8

=====

Q: Which formula does entry 2 have?
A: CeHo6Sc4